Version A
A plane-wave DFT calculation with PBE was carried out for a relaxed structure of CaErGa4.

- DOS(E_F) (states/eV per cell) = 2.8
- magnetic moment (μB/f.u.) = 0.0

```
data_CaErGa4
_cell_length_a 4.320
_cell_length_b 5.832
_cell_length_c 5.831
_cell_angle_alpha 82.93
_cell_angle_beta 68.26
_cell_angle_gamma 68.26
_space_group_name_H-M_alt 'P 1'
_space_group_IT_number 1
loop_
_space_group_symop_operation_xyz
'x,y,z'
loop_
_atom_site_label
_atom_site_fract_x
_atom_site_fract_y
_atom_site_fract_z
_atom_site_occupancy
Ca1 0.000 0.000 0.500 1
Er1 0.000 0.500 0.000 1
Ga1 0.668 0.561 0.604 1
Ga2 0.332 0.439 0.396 1
Ga3 0.332 0.896 0.939 1
Ga4 0.668 0.104 0.061 1
```

Version B
A plane-wave DFT calculation with PBE was carried out for a relaxed structure of CaErGa4.

- DOS(E_F) (states/eV per cell) = 4.3
- magnetic moment (μB/f.u.) = 0.0

```
data_CaErGa4
_cell_length_a 5.538
_cell_length_b 5.538
_cell_length_c 5.538
_cell_angle_alpha 60.00
_cell_angle_beta 60.00
_cell_angle_gamma 60.00
_space_group_name_H-M_alt 'P 1'
_space_group_IT_number 1
loop_
_space_group_symop_operation_xyz
'x,y,z'
loop_
_atom_site_label
_atom_site_fract_x
_atom_site_fract_y
_atom_site_fract_z
_atom_site_occupancy
Ca1 0.000 0.000 0.000 1
Ga1 0.625 0.625 0.126 1
Ga2 0.625 0.126 0.625 1
Ga3 0.625 0.625 0.625 1
Ga4 0.126 0.625 0.625 1
Er1 0.250 0.250 0.250 1
```

Of them, version B has the lowest stability.